[1]
# GGA-PBE Tb5ZnIr4, optimized geometry
data_Tb5ZnIr4
_symmetry_space_group_name_H-M 'P 4/m m m'
_symmetry_Int_Tables_number 123
_symmetry_space_group_name_Hall '-P 4 2'
_cell_length_a 3.4879
_cell_length_b 3.4879
_cell_length_c 17.2989
_cell_angle_alpha 90.00
_cell_angle_beta 90.00
_cell_angle_gamma 90.00
loop_
_atom_site_label
_atom_site_type_symbol
_atom_site_fract_x
_atom_site_fract_y
_atom_site_fract_z
Tb1 Tb 0.0000 0.0000 0.0000
Tb2 Tb 0.0000 0.0000 0.1958
Tb3 Tb 0.0000 0.0000 0.3891
Zn1 Zn 0.5000 0.5000 0.5000
Ir1 Ir 0.5000 0.5000 0.0988
Ir2 Ir 0.5000 0.5000 0.2971
# Formation enthalpy at 0 K   -0.7059 eV/atom

[2]
# GGA-PBE Tb2ZnIr3, optimized geometry
data_Tb2ZnIr3
_symmetry_space_group_name_H-M 'R -3 m'
_symmetry_Int_Tables_number 166
_symmetry_space_group_name_Hall '-R 3 2"'
_cell_length_a 5.5325
_cell_length_b 5.5325
_cell_length_c 12.3241
_cell_angle_alpha 90.00
_cell_angle_beta 90.00
_cell_angle_gamma 120.00
loop_
_atom_site_label
_atom_site_type_symbol
_atom_site_fract_x
_atom_site_fract_y
_atom_site_fract_z
Tb1 Tb 0.0000 0.0000 0.1265
Zn1 Zn 0.0000 0.0000 0.5000
Ir1 Ir 0.0000 0.5000 0.0000
# Formation enthalpy at 0 K   -0.7195 eV/atom

no.,final energy (eV per cell)
1,-66.93
2,-124.30